(1)
DFT (GGA-PBEsol) results for crystalline Sr4CdTc at its relaxed geometry.

Values from the calculation:
- magnetic moment (μB/atom) = 0.3585
- energy relative to the elements (eV per atom) = 1.13

The structure in CIF format:
```
data_Sr4CdTc
_chemical_formula_sum 'Sr16 Cd4 Tc4'
_cell_length_a 9.371
_cell_length_b 9.371
_cell_length_c 9.371
_cell_angle_alpha 90.00
_cell_angle_beta 90.00
_cell_angle_gamma 90.00
_symmetry_space_group_name_H-M 'F -4 3 m'
_symmetry_Int_Tables_number 216
_symmetry_space_group_name_Hall 'F -4 2 3'
loop_
_atom_site_label
_atom_site_fract_x
_atom_site_fract_y
_atom_site_fract_z
_atom_site_occupancy
Sr1 0.124 0.124 0.124 1
Cd1 0.000 0.000 0.500 1
Tc1 0.250 0.250 0.750 1
```



(2)
DFT (GGA-PBEsol) results for crystalline La4TcAs at its relaxed geometry.

Values from the calculation:
- magnetic moment (μB/atom) = 0.0057
- energy relative to the elements (eV per atom) = 0.65

The structure in CIF format:
```
data_La4TcAs
_chemical_formula_sum 'La16 Tc4 As4'
_cell_length_a 8.570
_cell_length_b 8.570
_cell_length_c 8.570
_cell_angle_alpha 90.00
_cell_angle_beta 90.00
_cell_angle_gamma 90.00
_symmetry_space_group_name_H-M 'F -4 3 m'
_symmetry_Int_Tables_number 216
_symmetry_space_group_name_Hall 'F -4 2 3'
loop_
_atom_site_label
_atom_site_fract_x
_atom_site_fract_y
_atom_site_fract_z
_atom_site_occupancy
La1 0.125 0.125 0.125 1
Tc1 0.000 0.000 0.500 1
As1 0.250 0.250 0.750 1
```



(3)
DFT (GGA-PBEsol) results for crystalline InSe4 at its relaxed geometry.

Values from the calculation:
- magnetic moment (μB/atom) = 0.0000
- formation energy (no corrections) (eV per atom) = 0.08

The structure in CIF format:
```
data_InSe4
_chemical_formula_sum 'In2 Se8'
_cell_length_a 5.230
_cell_length_b 5.230
_cell_length_c 10.153
_cell_angle_alpha 90.00
_cell_angle_beta 90.00
_cell_angle_gamma 90.00
_symmetry_space_group_name_H-M 'I 4/m m m'
_symmetry_Int_Tables_number 139
_symmetry_space_group_name_Hall '-I 4 2'
loop_
_atom_site_label
_atom_site_fract_x
_atom_site_fract_y
_atom_site_fract_z
_atom_site_occupancy
In1 0.000 0.000 0.000 1
Se1 0.000 0.000 0.305 1
Se2 0.000 0.500 0.250 1
```



(4)
DFT (GGA-PBEsol) results for crystalline InHg5 at its relaxed geometry.

Values from the calculation:
- magnetic moment (μB/atom) = 0.0000
- distance to the lowest polymorph of the same formula (meV per atom) = 4
- energy relative to the elements (eV per atom) = -0.01

The structure in CIF format:
```
data_InHg5
_chemical_formula_sum 'In2 Hg10'
_cell_length_a 4.978
_cell_length_b 3.860
_cell_length_c 14.847
_cell_angle_alpha 90.00
_cell_angle_beta 90.00
_cell_angle_gamma 90.00
_symmetry_space_group_name_H-M 'A m m 2'
_symmetry_Int_Tables_number 38
_symmetry_space_group_name_Hall 'A 2 -2'
loop_
_atom_site_label
_atom_site_fract_x
_atom_site_fract_y
_atom_site_fract_z
_atom_site_occupancy
In1 0.000 0.000 0.000 1
Hg1 0.000 0.000 0.333 1
Hg2 0.000 0.000 0.669 1
Hg3 0.500 0.000 0.180 1
Hg4 0.500 0.000 0.513 1
Hg5 0.500 0.000 0.845 1
```



(5)
DFT (GGA-PBEsol) results for crystalline RbHRh3 at its relaxed geometry.

Values from the calculation:
- magnetic moment (μB/atom) = 0.0002
- E (eV for the cell shown) = -24.50

The structure in CIF format:
```
data_RbHRh3
_chemical_formula_sum 'Rb1 H1 Rh3'
_cell_length_a 4.113
_cell_length_b 4.113
_cell_length_c 4.113
_cell_angle_alpha 90.00
_cell_angle_beta 90.00
_cell_angle_gamma 90.00
_symmetry_space_group_name_H-M 'P m -3 m'
_symmetry_Int_Tables_number 221
_symmetry_space_group_name_Hall '-P 4 2 3'
loop_
_atom_site_label
_atom_site_fract_x
_atom_site_fract_y
_atom_site_fract_z
_atom_site_occupancy
Rb1 0.000 0.000 0.000 1
H1 0.500 0.500 0.500 1
Rh1 0.000 0.500 0.500 1
```



(6)
DFT (GGA-PBEsol) results for crystalline CaHg2Cl at its relaxed geometry.

Values from the calculation:
- magnetic moment (μB/atom) = 0.0000
- distance to the lowest polymorph of the same formula (meV per atom) = 10
- formation energy (no corrections) (eV per atom) = -0.86

The structure in CIF format:
```
data_CaHg2Cl
_chemical_formula_sum 'Ca1 Hg2 Cl1'
_cell_length_a 4.093
_cell_length_b 4.139
_cell_length_c 5.789
_cell_angle_alpha 90.00
_cell_angle_beta 90.00
_cell_angle_gamma 90.00
_symmetry_space_group_name_H-M 'P m m m'
_symmetry_Int_Tables_number 47
_symmetry_space_group_name_Hall '-P 2 2'
loop_
_atom_site_label
_atom_site_fract_x
_atom_site_fract_y
_atom_site_fract_z
_atom_site_occupancy
Ca1 0.000 0.000 0.000 1
Hg1 0.000 0.500 0.500 1
Hg2 0.500 0.000 0.500 1
Cl1 0.500 0.500 0.000 1
```



Number 1: N(E_F) 10.5 states/eV/f.u.. Number 2: N(E_F) 9.4 states/eV/f.u.. Number 3: N(E_F) 1.5 states/eV/f.u.. Number 4: N(E_F) 1.9 states/eV/f.u.. Number 5: N(E_F) 6.3 states/eV/f.u.. Number 6: N(E_F) 1.4 states/eV/f.u..